[1]
# Nd4TlFe

A relaxed structure of Nd4TlFe (PBE, Alexandria).

abc: 16.835 7.305 6.036
angles: 90.00 110.97 90.00
Space group C2/m (No. 12)
Inequivalent atoms, fractional coordinates:
Nd: 0.000 0.223 0.000
Nd: 0.120 0.243 0.619
Nd: 0.183 0.500 0.182
Tl: 0.196 0.000 0.196
Fe: 0.000 0.500 0.310

Properties
The uncorrected energy is -5.08 eV/atom.

[2]
# Nd6Tl2Fe

A relaxed structure of Nd6Tl2Fe (PBE, Alexandria).

abc: 7.329 7.306 12.564
angles: 90.00 125.35 90.00
Space group P2_1/c (No. 14)
Inequivalent atoms, fractional coordinates:
Nd: 0.210 0.000 0.252
Nd: 0.271 0.248 0.521
Nd: 0.273 0.749 0.021
Tl: 0.253 0.501 0.252
Fe: 0.000 0.000 0.000

Properties
The uncorrected energy is -4.78 eV/atom.

[3]
# Nd12Tl6Fe

A relaxed structure of Nd12Tl6Fe (PBE, Alexandria).

abc: 12.5389 12.5389 13.6267
angles: 90.00 90.00 120.00
Space group R-3 (No. 148, hexagonal axes)
Inequivalent atoms, fractional coordinates:
Nd: 0.0356 0.8463 0.3886
Nd: 0.0438 0.1871 0.8768
Tl: 0.0074 0.6068 0.2606
Fe: 0.0000 0.0000 0.0000

Properties
The uncorrected energy is -4.33 eV/atom.

[4]
# Nd2Tm5Fe2

A relaxed structure of Nd2Tm5Fe2 (PBE, Alexandria).

abc: 19.964 6.959 6.940
angles: 90.00 90.00 90.00
Space group Cmce (No. 64)
Inequivalent atoms, fractional coordinates:
Nd: 0.231 0.000 0.000
Tm: 0.000 0.000 0.000
Tm: 0.104 0.181 0.322
Fe: 0.000 0.111 0.608

Properties
The uncorrected energy is -5.42 eV/atom.

[5]
# NdTm6Fe2

A relaxed structure of NdTm6Fe2 (PBE, Alexandria).

abc: 9.456 9.880 9.928
angles: 90.00 90.00 90.00
Space group Immm (No. 71)
Inequivalent atoms, fractional coordinates:
Nd: 0.000 0.000 0.000
Nd: 0.000 0.500 0.000
Tm: 0.000 0.230 0.233
Tm: 0.202 0.195 0.500
Tm: 0.207 0.500 0.309
Fe: 0.000 0.000 0.388
Fe: 0.000 0.391 0.500

Properties
The uncorrected energy is -5.35 eV/atom.

[6]
# NdTm3Fe8

A relaxed structure of NdTm3Fe8 (PBE, Alexandria).

abc: 5.1304 5.1304 25.1397
angles: 90.00 90.00 120.00
Space group R3m (No. 160, hexagonal axes)
Inequivalent atoms, fractional coordinates:
Nd: 0.0000 0.0000 0.0000
Tm: 0.0000 0.0000 0.1256
Tm: 0.0000 0.0000 0.4999
Tm: 0.0000 0.0000 0.6242
Fe: 0.0000 0.0000 0.3113
Fe: 0.0000 0.0000 0.8130
Fe: 0.0016 0.5008 0.0641
Fe: 0.1680 0.3360 0.8941

Properties
The uncorrected energy is -7.24 eV/atom.

no.,Fermi-level density of states (states/eV per cell)
1,21.970
2,17.317
3,62.071
4,48.384
5,49.777
6,44.937